{"formula": "KFeAgBr4", "functional": "PBE", "state": "optimized geometry", "cell": [[6.5555, 0.0000, 0.0000], [0.0000, 7.7967, 0.0000], [-2.2185, 0.0000, 8.7763]], "species": ["K", "K", "Fe", "Fe", "Ag", "Ag", "Br", "Br", "Br", "Br", "Br", "Br", "Br", "Br"], "fractional_positions": [[0.2360, 0.2500, 0.0664], [0.7640, 0.7500, 0.9336], [0.2171, 0.7500, 0.3127], [0.7829, 0.2500, 0.6873], [0.1444, 0.2500, 0.5148], [0.8556, 0.7500, 0.4852], [0.0336, 0.0077, 0.7187], [0.0336, 0.4923, 0.7187], [0.3460, 0.7500, 0.0844], [0.4781, 0.7500, 0.5535], [0.5219, 0.2500, 0.4465], [0.6540, 0.2500, 0.9156], [0.9664, 0.5077, 0.2813], [0.9664, 0.9923, 0.2813]], "m_tot_mub_per_cell": 8.00, "spacegroup": "P2_1/m", "dft_energy_ev_per_cell": -48.61, "raw_formation_energy_mev_per_atom": -743}